# GaTeW2 | the Alexandria database | PBE-GGA | relaxed
# formation energy (no corrections): 0.659 eV per atom
# polymorph energy (0 for the lowest one): 0.0000 eV/atom
# total DFT energy (no corrections): -7.3597 eV per atom
# DOS at the Fermi energy: 1.831 states/eV per atom
# total magnetization: 0.00 μB per formula unit
data_GaTeW2
_chemical_formula_sum 'Ga1 Te1 W2'
_space_group_name_H-M_alt 'P 1'
_space_group_IT_number 1
_space_group_name_Hall 'P 1'
_cell_length_a 4.5838
_cell_length_b 4.5838
_cell_length_c 4.5838
_cell_angle_alpha 60.00
_cell_angle_beta 60.00
_cell_angle_gamma 60.00
loop_
_atom_site_label
_atom_site_fract_x
_atom_site_fract_y
_atom_site_fract_z
_atom_site_occupancy
Ga1 0.0000 0.0000 0.0000 1
Te1 0.5000 0.5000 0.5000 1
W1 0.2500 0.2500 0.2500 1
W2 0.7500 0.7500 0.7500 1


# NaAgCl2 | the Alexandria database | PBE-GGA | relaxed
# formation energy (no corrections): -0.965 eV per atom
# polymorph energy (0 for the lowest one): 0.1312 eV/atom
# total DFT energy (no corrections): -2.9306 eV per atom
# total magnetization: 0.00 μB per formula unit
data_NaAgCl2
_chemical_formula_sum 'Na1 Ag1 Cl2'
_space_group_name_H-M_alt 'P 1'
_space_group_IT_number 1
_space_group_name_Hall 'P 1'
_cell_length_a 4.8966
_cell_length_b 4.8966
_cell_length_c 3.4396
_cell_angle_alpha 90.00
_cell_angle_beta 90.00
_cell_angle_gamma 90.00
loop_
_atom_site_label
_atom_site_fract_x
_atom_site_fract_y
_atom_site_fract_z
_atom_site_occupancy
Na1 0.0000 0.0000 0.0000 1
Ag1 0.5000 0.5000 0.0000 1
Cl1 0.0000 0.5000 0.5000 1
Cl2 0.5000 0.0000 0.5000 1


Q: Which value of total magnetization does entry 2 give?
A: 0.00 μB per formula unit


Q: The highest formation energy (no corrections) belongs to which entry?
A: GaTeW2